1.
RbBaRh3 | GGA-PBE | relaxed

Calculated values
As for the formation energy: 7.35 eV/f.u. As for the density of states at the Fermi level: 6.02 states/eV/cell. The calculation puts the total energy at -3.519 eV per atom. Its crystal system is cubic.

Cell: 5.1137 5.1137 5.1137 Å, 90.00 90.00 90.00°
With the nearest neighbours (Å) after each atom.
Space group Pm-3m (No. 221)
Asymmetric unit:
Rb 0.0000 0.0000 0.0000  6 Rh 2.56
Ba 0.5000 0.5000 0.5000  12 Rh 3.62
Rh 0.0000 0.0000 0.5000  2 Rb 2.56

---

2.
RbBa2Rh | GGA-PBE | relaxed

Calculated values
As for the formation energy: 0.42 eV/f.u. As for the density of states at the Fermi level: 19.95 states/eV/cell. The calculation puts the total energy at -2.936 eV per atom. Its crystal system is tetragonal.

Cell: 9.1639 9.1639 12.9447 Å, 90.00 90.00 90.00°
With the nearest neighbours (Å) after each atom.
Space group I-42d (No. 122)
Asymmetric unit:
Rb 0.0000 0.0000 0.0000  12 Ba 5.24-5.50, 4 Rh 5.61, 4 Rb 5.61
Ba 0.0165 0.2500 0.6250  2 Rh 2.81
Rh 0.0000 0.0000 0.5000  4 Ba 2.81

---

3.
RbBaRh3 | GGA-PBE | relaxed

Calculated values
As for the formation energy: 6.94 eV/f.u. As for the density of states at the Fermi level: 4.93 states/eV/cell. The calculation puts the total energy at -3.601 eV per atom. Its crystal system is cubic.

Cell: 5.3176 5.3176 5.3176 Å, 90.00 90.00 90.00°
With the nearest neighbours (Å) after each atom.
Space group Pm-3m (No. 221)
Asymmetric unit:
Rb 0.0000 0.0000 0.0000  12 Rh 3.76
Ba 0.5000 0.5000 0.5000  6 Rh 2.66
Rh 0.0000 0.5000 0.5000  2 Ba 2.66

---

4.
RbBa2Rh | GGA-PBE | relaxed

Calculated values
As for the formation energy: -0.29 eV/f.u. As for the density of states at the Fermi level: 7.93 states/eV/cell. The calculation puts the total energy at -3.113 eV per atom. Its crystal system is trigonal.

Cell: 4.5746 4.5746 37.0315 Å, 90.00 90.00 120.00°
With the nearest neighbours (Å) after each atom.
Space group R-3m (No. 166, hexagonal axes)
Asymmetric unit:
Rb 0.0000 0.0000 0.0000  2 Ba 4.54, 6 Rb 4.57
Ba 0.0000 0.0000 0.1225  3 Rh 3.11
Rh 0.0000 0.0000 0.5000  6 Ba 3.11

---

5.
Rb2BaRh | GGA-PBE | relaxed

Calculated values
As for the formation energy: 3.48 eV/f.u. As for the density of states at the Fermi level: 22.05 states/eV/cell. The calculation puts the total energy at -1.933 eV per atom. Its crystal system is tetragonal.

Cell: 8.8844 8.8844 12.5868 Å, 90.00 90.00 90.00°
With the nearest neighbours (Å) after each atom.
Space group I-42d (No. 122)
Asymmetric unit:
Rb 0.0007 0.7500 0.1250  2 Rh 2.72
Ba 0.0000 0.0000 0.5000  12 Rb 5.20-5.22, 4 Ba 5.44, 4 Rh 5.44
Rh 0.0000 0.0000 0.0000  4 Rb 2.72

---

6.
RbBaRh | GGA-PBE | relaxed

Calculated values
As for the formation energy: -0.32 eV/f.u. As for the density of states at the Fermi level: 16.01 states/eV/cell. The calculation puts the total energy at -3.520 eV per atom. Its crystal system is monoclinic.

Cell: 7.8516 4.5319 16.8058 Å, 90.00 90.01 90.00°
With the nearest neighbours (Å) after each atom.
Space group Cm (No. 8)
Asymmetric unit:
Rb 0.0000 0.0000 0.0000  9 Rb 4.53-4.97, 3 Ba 5.00-5.02
Rb 0.1670 0.5000 0.7487  9 Rb 4.53-4.97, 3 Ba 5.01-5.02
Ba 0.3313 0.0000 0.2543  6 Rh 3.30-3.31
Ba 0.3314 0.0000 0.4944  6 Rh 3.30-3.31
Rh 0.1648 0.5000 0.3745  3 Rh 2.61-2.62
Rh 0.4978 0.5000 0.3742  3 Rh 2.61-2.62

---

7.
Rb2BaRh | GGA-PBE | relaxed

Calculated values
As for the formation energy: 2.76 eV/f.u. As for the density of states at the Fermi level: 17.30 states/eV/cell. The calculation puts the total energy at -2.113 eV per atom. Its crystal system is cubic.

Cell: 8.4832 8.4832 8.4832 Å, 90.00 90.00 90.00°
With the nearest neighbours (Å) after each atom.
Space group Fm-3m (No. 225)
Asymmetric unit:
Rb 0.2500 0.2500 0.2500  4 Ba 3.67, 4 Rh 3.67
Ba 0.0000 0.0000 0.0000  8 Rb 3.67
Rh 0.0000 0.0000 0.5000  8 Rb 3.67

---

8.
RbBa2Rh | GGA-PBE | relaxed

Calculated values
As for the formation energy: 1.14 eV/f.u. As for the density of states at the Fermi level: 2.23 states/eV/cell. The calculation puts the total energy at -2.757 eV per atom. Its crystal system is cubic.

Cell: 8.4205 8.4205 8.4205 Å, 90.00 90.00 90.00°
With the nearest neighbours (Å) after each atom.
Space group Fm-3m (No. 225)
Asymmetric unit:
Rb 0.0000 0.0000 0.0000  8 Ba 3.65
Ba 0.2500 0.2500 0.2500  4 Rb 3.65, 4 Rh 3.65
Rh 0.0000 0.0000 0.5000  8 Ba 3.65